(P)
This record from Alexandria via LeMat-Bulk describes an optimized crystal structure of VNiH2. The functional is PBE-GGA.

Cell lengths 2.7619, 2.7697, 4.9225 Å; angles 73.76, 73.73, 60.06 degrees
Fractional positions:
H (0.1009, 0.5463, 0.5950)
Ni (0.7450, 0.1890, 0.6643)
V (0.2328, 0.6777, 0.1996)
H (0.6257, 0.0716, 0.0196)

Summary:
The calculation puts the density of states at the Fermi level at 3.1 states/eV/f.u. Its space group is Cm (8).

(Q)
This record from Alexandria via LeMat-Bulk describes an optimized crystal structure of VNiH2. The functional is PBE-GGA.

Cell lengths 3.4748, 3.4748, 3.4748 Å; angles 60.00, 60.00, 60.00 degrees
Fractional positions:
Ni (0.5000, 0.5000, 0.5000)
V (0.0000, 0.0000, 0.0000)
H (0.2500, 0.2500, 0.2500)
H (0.7500, 0.7500, 0.7500)

Summary:
The calculation puts the density of states at the Fermi level at 3.3 states/eV/f.u. Its space group is Fm-3m (225).

Among the structures shown above, (P) is the most stable, with the second-best lying 308 meV/atom higher.